# 1
DFT (PBE) results for crystalline Sm2As4Rh3 at its relaxed geometry.

## Properties
formation energy = -880.9 meV/atom
density of states at the Fermi level = 0.624 states/eV per atom

```
18
Lattice="-5.261 -1.173 -2.065 2.970 -1.302 -6.827 3.550 -6.680 2.818" Properties=species:S:1:pos:R:3 pbc="T T T"
Sm 1.941 -2.413 -3.575
Sm -0.683 -6.742 -2.500
Sm 0.957 -5.721 0.811
Sm 0.302 -3.434 -6.886
As 1.735 -7.774 -4.039
As -3.107 -1.968 -3.068
As -0.476 -1.381 -2.036
As 4.366 -7.187 -3.006
As 3.205 -3.952 -5.920
As -1.946 -5.203 -0.155
As 1.956 -5.174 -2.046
As -0.698 -3.981 -4.029
Rh 0.000 0.000 0.000
Rh -1.146 -1.237 -4.446
Rh 1.430 -5.361 -4.632
Rh -2.802 -4.380 -2.476
Rh -0.171 -3.793 -1.443
Rh 4.061 -4.775 -3.599
```

# 2
DFT (PBE) results for crystalline PrSiBRh3 at its relaxed geometry.

## Properties
formation energy (no corrections) = -0.748 eV/atom
density of states at the Fermi level = 0.317 states/eV per atom

```
12
Lattice="-5.519 1.717 -0.100 -1.705 -5.426 0.950 1.049 3.690 5.456" Properties=species:S:1:pos:R:3 pbc="T T T"
Pr -4.039 1.786 2.951
Pr -2.136 -1.805 3.355
Si -1.227 1.189 4.588
Si -4.948 -1.208 1.717
B -1.371 0.475 0.255
B -4.805 -0.494 6.051
Rh -1.303 0.812 2.300
Rh -0.428 -1.361 0.238
Rh -4.037 -3.206 0.662
Rh -3.187 -0.502 0.188
Rh -1.278 -4.065 0.712
Rh -4.873 -0.831 4.006
```

# 3
DFT (PBE) results for crystalline Pr7Tm5 at its relaxed geometry.

## Properties
E above lowest polymorph = 144 meV/atom
formation energy = 157.1 meV/atom
density of states at the Fermi level = 1.533 states/eV per atom

```
12
Lattice="5.790 0.000 0.000 -2.895 4.883 -0.357 0.000 -2.376 14.688" Properties=species:S:1:pos:R:3 pbc="T T T"
Pr 0.000 0.684 9.675
Pr 2.895 1.823 4.656
Pr 0.000 -0.006 3.091
Pr 2.895 2.513 11.240
Pr 2.895 1.628 1.070
Pr 2.895 -1.188 7.344
Pr 0.000 0.879 13.262
Tm 0.000 0.351 6.383
Tm 2.895 2.155 7.948
Tm 0.000 3.280 2.646
Tm 2.895 -0.773 11.685
Tm 0.000 0.000 0.000
```